Entry 1:
Here is an optimized crystal structure of TaAgP2F from Alexandria via LeMat-Bulk. Energies are from PBE.

Calculated values
Crystal system   tetragonal
E   -29.86 eV per cell
Spin magnetization   0.00 μB/f.u.
Raw formation energy   -47.6 kJ/mol of atoms

```
data_TaAgP2F
_chemical_formula_sum 'Ta1 Ag1 P2 F1'
_space_group_name_H-M_alt 'P 4/m m m'
_space_group_IT_number 123
_space_group_name_Hall '-P 4 2'
_cell_length_a 4.864
_cell_length_b 4.864
_cell_length_c 4.039
_cell_angle_alpha 90.00
_cell_angle_beta 90.00
_cell_angle_gamma 90.00
loop_
_atom_site_label
_atom_site_type_symbol
_atom_site_fract_x
_atom_site_fract_y
_atom_site_fract_z
Ta1 Ta 0.000 0.000 0.000
Ag1 Ag 0.500 0.500 0.500
P1 P 0.000 0.500 0.000
F1 F 0.000 0.000 0.500
```

Entry 2:
Here is an optimized crystal structure of AgRh2Se from Alexandria via LeMat-Bulk. Energies are from PBE.

Calculated values
Crystal system   tetragonal
E   -20.69 eV per cell
Spin magnetization   0.00 μB/f.u.
Raw formation energy   8.5 kJ/mol of atoms

```
data_AgRh2Se
_chemical_formula_sum 'Ag1 Rh2 Se1'
_space_group_name_H-M_alt 'P 4/m m m'
_space_group_IT_number 123
_space_group_name_Hall '-P 4 2'
_cell_length_a 3.038
_cell_length_b 3.038
_cell_length_c 6.855
_cell_angle_alpha 90.00
_cell_angle_beta 90.00
_cell_angle_gamma 90.00
loop_
_atom_site_label
_atom_site_type_symbol
_atom_site_fract_x
_atom_site_fract_y
_atom_site_fract_z
Ag1 Ag 0.000 0.000 0.000
Rh1 Rh 0.500 0.500 0.282
Se1 Se 0.000 0.000 0.500
```

Entry 3:
Here is an optimized crystal structure of KRb2F3 from Alexandria via LeMat-Bulk. Energies are from PBE.

Calculated values
Crystal system   orthorhombic
ΔE to the lowest computed polymorph   0.000 eV/atom
E   -49.48 eV per cell
Spin magnetization   0.24 μB/f.u.
Raw formation energy   -258.8 kJ/mol of atoms

```
data_KRb2F3
_chemical_formula_sum 'K2 Rb4 F6'
_space_group_name_H-M_alt 'I m m m'
_space_group_IT_number 71
_space_group_name_Hall '-I 2 2'
_cell_length_a 3.973
_cell_length_b 5.622
_cell_length_c 11.947
_cell_angle_alpha 90.00
_cell_angle_beta 90.00
_cell_angle_gamma 90.00
loop_
_atom_site_label
_atom_site_type_symbol
_atom_site_fract_x
_atom_site_fract_y
_atom_site_fract_z
K1 K 0.000 0.000 0.000
Rb1 Rb 0.000 0.000 0.333
F1 F 0.000 0.500 0.000
F2 F 0.000 0.500 0.342
```

Entry 4:
Here is an optimized crystal structure of Li3AcAg4F12 from Alexandria via LeMat-Bulk. Energies are from PBE.

Calculated values
Crystal system   cubic
E   -173.34 eV per cell
Spin magnetization   0.00 μB/f.u.
Raw formation energy   -207.2 kJ/mol of atoms

```
data_Li3AcAg4F12
_chemical_formula_sum 'Li6 Ac2 Ag8 F24'
_space_group_name_H-M_alt 'I m -3'
_space_group_IT_number 204
_space_group_name_Hall '-I 2 2 3'
_cell_length_a 8.360
_cell_length_b 8.360
_cell_length_c 8.360
_cell_angle_alpha 90.00
_cell_angle_beta 90.00
_cell_angle_gamma 90.00
loop_
_atom_site_label
_atom_site_type_symbol
_atom_site_fract_x
_atom_site_fract_y
_atom_site_fract_z
Li1 Li 0.000 0.000 0.500
Ac1 Ac 0.000 0.000 0.000
Ag1 Ag 0.250 0.250 0.250
F1 F 0.000 0.150 0.299
```

Entry 5:
Here is an optimized crystal structure of TaB3Mo from Alexandria via LeMat-Bulk. Energies are from PBE.

Calculated values
Crystal system   orthorhombic
ΔE to the lowest computed polymorph   0.000 eV/atom
Formation enthalpy at 0 K   -617 meV per atom
E   -183.21 eV per cell
Spin magnetization   0.00 μB/f.u.

```
data_TaB3Mo
_chemical_formula_sum 'Ta4 B12 Mo4'
_space_group_name_H-M_alt 'C m c m'
_space_group_IT_number 63
_space_group_name_Hall '-C 2c 2'
_cell_length_a 3.258
_cell_length_b 19.275
_cell_length_c 3.105
_cell_angle_alpha 90.00
_cell_angle_beta 90.00
_cell_angle_gamma 90.00
loop_
_atom_site_label
_atom_site_type_symbol
_atom_site_fract_x
_atom_site_fract_y
_atom_site_fract_z
Ta1 Ta 0.000 0.071 0.250
B1 B 0.000 0.331 0.750
B2 B 0.000 0.382 0.250
B3 B 0.000 0.477 0.250
Mo1 Mo 0.000 0.201 0.750
```

Entry 6:
Here is an optimized crystal structure of Hf2Ga2W from Alexandria via LeMat-Bulk. Energies are from PBE.

Calculated values
Crystal system   tetragonal
Formation enthalpy at 0 K   -344 meV per atom
E   -81.26 eV per cell
Spin magnetization   0.00 μB/f.u.

```
data_Hf2Ga2W
_chemical_formula_sum 'Hf4 Ga4 W2'
_space_group_name_H-M_alt 'P 4/m b m'
_space_group_IT_number 127
_space_group_name_Hall '-P 4 2ab'
_cell_length_a 6.939
_cell_length_b 6.939
_cell_length_c 3.685
_cell_angle_alpha 90.00
_cell_angle_beta 90.00
_cell_angle_gamma 90.00
loop_
_atom_site_label
_atom_site_type_symbol
_atom_site_fract_x
_atom_site_fract_y
_atom_site_fract_z
Hf1 Hf 0.178 0.322 0.000
Ga1 Ga 0.127 0.627 0.500
W1 W 0.000 0.000 0.500
```

Entry 7:
Here is an optimized crystal structure of Rb2SiSbAu6 from Alexandria via LeMat-Bulk. Energies are from PBE.

Calculated values
Crystal system   monoclinic
E   -67.23 eV per cell
Spin magnetization   0.00 μB/f.u.
Raw formation energy   -23.8 kJ/mol of atoms

```
data_Rb2SiSbAu6
_chemical_formula_sum 'Rb4 Si2 Sb2 Au12'
_space_group_name_H-M_alt 'C 1 m 1'
_space_group_IT_number 8
_cell_length_a 10.212
_cell_length_b 9.612
_cell_length_c 7.123
_cell_angle_alpha 90.00
_cell_angle_beta 131.03
_cell_angle_gamma 90.00
loop_
_space_group_symop_operation_xyz
'x,y,z'
'x,-y,z'
'x+1/2,y+1/2,z'
'x+1/2,-y+1/2,z'
loop_
_atom_site_label
_atom_site_type_symbol
_atom_site_fract_x
_atom_site_fract_y
_atom_site_fract_z
Rb1 Rb 0.000 0.220 0.000
Si1 Si 0.390 0.000 0.412
Sb1 Sb 0.376 0.500 0.364
Au1 Au 0.018 0.258 0.518
Au2 Au 0.158 0.500 0.867
Au3 Au 0.167 0.500 0.466
Au4 Au 0.233 0.000 0.559
Au5 Au 0.270 0.000 0.981
```

Entry 8:
Here is an optimized crystal structure of YAuCl2 from Alexandria via LeMat-Bulk. Energies are from PBE.

Calculated values
Crystal system   trigonal
ΔE to the lowest computed polymorph   0.427 eV/atom
E   -52.63 eV per cell
Spin magnetization   0.00 μB/f.u.
Raw formation energy   -99.1 kJ/mol of atoms

```
data_YAuCl2
_chemical_formula_sum 'Y3 Au3 Cl6'
_space_group_name_H-M_alt 'R -3 m'
_space_group_IT_number 166
_space_group_name_Hall '-R 3 2"'
_cell_length_a 3.4905
_cell_length_b 3.4905
_cell_length_c 30.2832
_cell_angle_alpha 90.00
_cell_angle_beta 90.00
_cell_angle_gamma 120.00
loop_
_atom_site_label
_atom_site_type_symbol
_atom_site_fract_x
_atom_site_fract_y
_atom_site_fract_z
Y1 Y 0.0000 0.0000 0.0000
Au1 Au 0.0000 0.0000 0.5000
Cl1 Cl 0.0000 0.0000 0.3921
```

Entry 9:
Here is an optimized crystal structure of Ac2Sb3Pt4Au from Alexandria via LeMat-Bulk. Energies are from PBE.

Calculated values
Crystal system   tetragonal
E   -56.56 eV per cell
Spin magnetization   0.00 μB/f.u.
Raw formation energy   -82.3 kJ/mol of atoms

```
data_Ac2Sb3Pt4Au
_chemical_formula_sum 'Ac2 Sb3 Pt4 Au1'
_space_group_name_H-M_alt 'P -4 m 2'
_space_group_IT_number 115
_cell_length_a 4.728
_cell_length_b 4.728
_cell_length_c 10.556
_cell_angle_alpha 90.00
_cell_angle_beta 90.00
_cell_angle_gamma 90.00
loop_
_space_group_symop_operation_xyz
'x,y,z'
'y,-x,-z'
'-x,-y,z'
'-y,x,-z'
'-x,y,z'
'-y,-x,-z'
'x,-y,z'
'y,x,-z'
loop_
_atom_site_label
_atom_site_type_symbol
_atom_site_fract_x
_atom_site_fract_y
_atom_site_fract_z
Ac1 Ac 0.000 0.500 0.248
Sb1 Sb 0.000 0.500 0.874
Sb2 Sb 0.500 0.500 0.500
Pt1 Pt 0.000 0.000 0.000
Pt2 Pt 0.000 0.500 0.628
Pt3 Pt 0.500 0.500 0.000
Au1 Au 0.000 0.000 0.500
```

Entry 10:
Here is an optimized crystal structure of Ti3VAs from Alexandria via LeMat-Bulk. Energies are from PBE.

Calculated values
Crystal system   cubic
ΔE to the lowest computed polymorph   0.000 eV/atom
Formation enthalpy at 0 K   395 meV per atom
E   -35.48 eV per cell
Spin magnetization   2.44 μB/f.u.

```
data_Ti3VAs
_chemical_formula_sum 'Ti3 V1 As1'
_space_group_name_H-M_alt 'P m -3 m'
_space_group_IT_number 221
_space_group_name_Hall '-P 4 2 3'
_cell_length_a 4.674
_cell_length_b 4.674
_cell_length_c 4.674
_cell_angle_alpha 90.00
_cell_angle_beta 90.00
_cell_angle_gamma 90.00
loop_
_atom_site_label
_atom_site_type_symbol
_atom_site_fract_x
_atom_site_fract_y
_atom_site_fract_z
Ti1 Ti 0.000 0.000 0.500
V1 V 0.500 0.500 0.500
As1 As 0.000 0.000 0.000
```

Entry 11:
Here is an optimized crystal structure of MnZn2Re from Alexandria via LeMat-Bulk. Energies are from PBE.

Calculated values
Crystal system   tetragonal
ΔE to the lowest computed polymorph   0.641 eV/atom
Formation enthalpy at 0 K   697 meV per atom
E   -85.51 eV per cell
Spin magnetization   3.11 μB/f.u.

```
data_MnZn2Re
_chemical_formula_sum 'Mn4 Zn8 Re4'
_space_group_name_H-M_alt 'I -4 2 d'
_space_group_IT_number 122
_space_group_name_Hall 'I -4 2bw'
_cell_length_a 6.858
_cell_length_b 6.858
_cell_length_c 5.156
_cell_angle_alpha 90.00
_cell_angle_beta 90.00
_cell_angle_gamma 90.00
loop_
_atom_site_label
_atom_site_type_symbol
_atom_site_fract_x
_atom_site_fract_y
_atom_site_fract_z
Mn1 Mn 0.000 0.000 0.000
Zn1 Zn 0.242 0.250 0.125
Re1 Re 0.000 0.000 0.500
```

Entry 12:
Here is an optimized crystal structure of Ti5S2 from Alexandria via LeMat-Bulk. Energies are from PBE.

Calculated values
Crystal system   monoclinic
E   -215.30 eV per cell
Spin magnetization   0.00 μB/f.u.
Raw formation energy   -84.0 kJ/mol of atoms

```
data_Ti5S2
_chemical_formula_sum 'Ti20 S8'
_space_group_name_H-M_alt 'C 1 2/c 1'
_space_group_IT_number 15
_cell_length_a 12.786
_cell_length_b 5.586
_cell_length_c 6.059
_cell_angle_alpha 90.00
_cell_angle_beta 96.68
_cell_angle_gamma 90.00
loop_
_space_group_symop_operation_xyz
'x,y,z'
'-x,-y,-z'
'-x,y,-z+1/2'
'x,-y,z+1/2'
'x+1/2,y+1/2,z'
'-x+1/2,-y+1/2,-z'
'-x+1/2,y+1/2,-z+1/2'
'x+1/2,-y+1/2,z+1/2'
loop_
_atom_site_label
_atom_site_type_symbol
_atom_site_fract_x
_atom_site_fract_y
_atom_site_fract_z
Ti1 Ti 0.000 0.097 0.250
Ti2 Ti 0.093 0.405 0.931
Ti3 Ti 0.219 0.116 0.290
S1 S 0.105 0.201 0.587
```